(1)
Sm2ScAl12Ni3: relaxed, PBE.

a b c (Å): 7.7448 7.7448 7.7448
angles (deg): 65.89 65.89 65.89
Last column: nearest neighbours and their distance in Å.
Atoms (fractional coordinates):
Sm  0.0807  0.0807  0.0807  1 Sm 2.92, 6 Al 2.98-3.14
Sm  0.9193  0.9193  0.9193  1 Sm 2.92, 6 Al 2.98-3.14
Sc  0.5000  0.5000  0.5000  12 Al 3.13-3.22
Al  0.0406  0.6641  0.6641  1 Ni 2.30
Al  0.2259  0.2259  0.6163  2 Ni 2.25
Al  0.2259  0.6163  0.2259  2 Ni 2.25
Al  0.3359  0.3359  0.9594  1 Ni 2.30
Al  0.3359  0.9594  0.3359  1 Ni 2.30
Al  0.3837  0.7741  0.7741  2 Ni 2.25
Al  0.6163  0.2259  0.2259  2 Ni 2.25
Al  0.6641  0.0406  0.6641  1 Ni 2.30
Al  0.6641  0.6641  0.0406  1 Ni 2.30
Al  0.7741  0.3837  0.7741  2 Ni 2.25
Al  0.7741  0.7741  0.3837  2 Ni 2.25
Al  0.9594  0.3359  0.3359  1 Ni 2.30
Ni  0.0000  0.5000  0.5000  6 Al 2.25-2.30
Ni  0.5000  0.0000  0.5000  6 Al 2.25-2.30
Ni  0.5000  0.5000  0.0000  6 Al 2.25-2.30

Computed properties:
formation energy from the elements: -14 meV/atom
crystal system: trigonal
space group: R-3m (166)

(2)
Mg3Tl4Pb: relaxed, PBE.

a b c (Å): 10.8267 7.2692 5.4601
angles (deg): 90.00 90.00 90.00
Last column: nearest neighbours and their distance in Å.
Atoms (fractional coordinates):
Mg  0.0000  0.0000  0.0000  8 Tl 3.23-3.24, 2 Mg 3.56
Mg  0.2500  0.0000  0.4249  8 Tl 3.22-3.26, 2 Mg 3.56
Mg  0.2500  0.5000  0.4258  8 Tl 3.31-3.33, 2 Pb 3.57, 2 Mg 3.63
Mg  0.5000  0.0000  0.0000  8 Tl 3.23-3.24, 2 Mg 3.56
Mg  0.7500  0.0000  0.5751  8 Tl 3.22-3.26, 2 Mg 3.56
Mg  0.7500  0.5000  0.5742  8 Tl 3.31-3.33, 2 Pb 3.57, 2 Mg 3.63
Tl  0.0000  0.2386  0.5000  6 Mg 3.23-3.33, 2 Pb 3.33, 3 Tl 3.47-3.58
Tl  0.0000  0.7614  0.5000  6 Mg 3.23-3.33, 2 Pb 3.33, 3 Tl 3.47-3.58
Tl  0.2500  0.2399  0.9289  6 Mg 3.22-3.33, 2 Pb 3.32, 3 Tl 3.49-3.58
Tl  0.2500  0.7601  0.9289  6 Mg 3.22-3.33, 2 Pb 3.32, 3 Tl 3.49-3.58
Tl  0.5000  0.2386  0.5000  6 Mg 3.23-3.33, 2 Pb 3.33, 3 Tl 3.47-3.58
Tl  0.5000  0.7614  0.5000  6 Mg 3.23-3.33, 2 Pb 3.33, 3 Tl 3.47-3.58
Tl  0.7500  0.2399  0.0711  6 Mg 3.22-3.33, 2 Pb 3.32, 3 Tl 3.49-3.58
Tl  0.7500  0.7601  0.0711  6 Mg 3.22-3.33, 2 Pb 3.32, 3 Tl 3.49-3.58
Pb  0.0000  0.5000  0.0000  8 Tl 3.32-3.33, 4 Mg 3.57-3.63
Pb  0.5000  0.5000  0.0000  8 Tl 3.32-3.33, 4 Mg 3.57-3.63

Computed properties:
formation energy from the elements: 5 meV/atom
crystal system: orthorhombic
space group: Pmma (51)

(3)
DyYSiNi: relaxed, PBE.

a b c (Å): 4.0343 5.6734 5.6734
angles (deg): 41.10 90.00 90.00
Last column: nearest neighbours and their distance in Å.
Atoms (fractional coordinates):
Dy  0.0000  0.0000  0.0000  4 Ni 2.94, 3 Si 2.97-3.10
Y  0.5000  0.2809  0.2809  4 Si 2.94, 3 Ni 2.98-3.10
Si  0.0000  0.7078  0.7078  2 Ni 2.48
Ni  0.5000  0.5727  0.5727  2 Si 2.48

Computed properties:
crystal system: orthorhombic
energy above the lowest structure with this stoichiometry: 0.000 eV per atom
space group: Amm2 (38)

(4)
TlCoBi3: relaxed, PBE.

a b c (Å): 5.2364 5.2364 5.2364
angles (deg): 90.00 90.00 90.00
Last column: nearest neighbours and their distance in Å.
Atoms (fractional coordinates):
Tl  0.0000  0.0000  0.0000  12 Bi 3.70
Co  0.5000  0.5000  0.5000  6 Bi 2.62
Bi  0.0000  0.5000  0.5000  2 Co 2.62
Bi  0.5000  0.0000  0.5000  2 Co 2.62
Bi  0.5000  0.5000  0.0000  2 Co 2.62

Computed properties:
formation energy from the elements: 315 meV/atom
crystal system: cubic
energy above the lowest structure with this stoichiometry: 0.000 eV per atom
space group: Pm-3m (221)

(5)
ZrW2Cl: relaxed, PBE.

a b c (Å): 9.6592 9.6592 9.6592
angles (deg): 17.39 17.39 17.39
Last column: nearest neighbours and their distance in Å.
Atoms (fractional coordinates):
Zr  0.0000  0.0000  0.0000  6 Zr 2.92, 6 W 3.10
W  0.2420  0.2420  0.2420  3 Cl 2.73, 6 W 2.92
W  0.7580  0.7580  0.7580  3 Cl 2.73, 6 W 2.92
Cl  0.5000  0.5000  0.5000  6 W 2.73, 6 Cl 2.92

Computed properties:
crystal system: trigonal
energy above the lowest structure with this stoichiometry: 0.651 eV per atom
space group: R-3m (166)

(6)
Rb2ZnAuO: relaxed, PBE.

a b c (Å): 6.3837 6.3837 4.9848
angles (deg): 90.00 90.00 90.00
Last column: nearest neighbours and their distance in Å.
Atoms (fractional coordinates):
Rb  0.0000  0.5000  0.0000  2 Au 3.19
Rb  0.5000  0.0000  0.0000  2 Au 3.19
Zn  0.0000  0.0000  0.5000  2 Au 2.49
Au  0.0000  0.0000  0.0000  2 Zn 2.49
O  0.5000  0.5000  0.5000  8 Rb 4.05, 4 Zn 4.51

Computed properties:
crystal system: tetragonal
energy above the lowest structure with this stoichiometry: 0.592 eV per atom
space group: P4/mmm (123)

(7)
PbBrO: relaxed, PBE.

a b c (Å): 3.8512 3.8512 6.0114
angles (deg): 90.00 90.00 120.00
Last column: nearest neighbours and their distance in Å.
Atoms (fractional coordinates):
Pb  0.0000  0.0000  0.0000  3 O 2.32
Br  0.6667  0.3333  0.6540  3 Pb 3.04
O  0.3333  0.6667  0.1088  3 Pb 2.32

Computed properties:
DFT total energy: -4.058 eV/atom
crystal system: trigonal
space group: P3m1 (156)

(8)
RbBa2Ca: relaxed, PBE.

a b c (Å): 15.5554 15.5554 15.5554
angles (deg): 16.04 16.04 16.04
Last column: nearest neighbours and their distance in Å.
Atoms (fractional coordinates):
Rb  0.0000  0.0000  0.0000  2 Ba 4.34, 6 Rb 4.34
Ba  0.0942  0.0942  0.0942  3 Ca 4.17, 1 Rb 4.34, 6 Ba 4.34
Ba  0.9058  0.9058  0.9058  3 Ca 4.17, 1 Rb 4.34, 6 Ba 4.34
Ca  0.5000  0.5000  0.5000  6 Ba 4.17, 6 Ca 4.34

Computed properties:
formation energy from the elements: 123 meV/atom
crystal system: trigonal
energy above the lowest structure with this stoichiometry: 0.033 eV per atom
space group: R-3m (166)

(9)
YMg2Sc: relaxed, PBE.

a b c (Å): 11.0253 11.0253 11.0253
angles (deg): 17.41 17.41 17.41
Last column: nearest neighbours and their distance in Å.
Atoms (fractional coordinates):
Y  0.0000  0.0000  0.0000  6 Y 3.34, 6 Mg 3.38-3.46
Mg  0.4187  0.4187  0.4187  3 Sc 3.21, 6 Mg 3.34, 3 Y 3.38
Mg  0.5783  0.5783  0.5783  3 Sc 3.26, 6 Mg 3.34, 3 Y 3.46
Sc  0.8308  0.8308  0.8308  6 Mg 3.21-3.26, 6 Sc 3.34

Computed properties:
formation energy from the elements: 61 meV/atom
crystal system: trigonal
energy above the lowest structure with this stoichiometry: 0.130 eV per atom
space group: R3m (160)

(10)
CrPd2RuAu: relaxed, PBE.

a b c (Å): 4.5987 4.5987 4.3087
angles (deg): 90.00 90.00 90.00
Last column: nearest neighbours and their distance in Å.
Atoms (fractional coordinates):
Cr  0.0000  0.0000  0.0000  2 Ru 2.15, 4 Pd 2.30
Pd  0.0000  0.5000  0.0000  2 Cr 2.30
Pd  0.5000  0.0000  0.0000  2 Cr 2.30
Ru  0.0000  0.0000  0.5000  2 Cr 2.15
Au  0.5000  0.5000  0.5000  8 Pd 3.15, 4 Ru 3.25

Computed properties:
formation energy from the elements: 931 meV/atom
crystal system: tetragonal
space group: P4/mmm (123)

(11)
TaPbBr2: relaxed, PBE.

a b c (Å): 5.2420 5.2420 5.2420
angles (deg): 60.00 60.00 60.00
Last column: nearest neighbours and their distance in Å.
Atoms (fractional coordinates):
Ta  0.0000  0.0000  0.0000  4 Pb 3.21, 4 Br 3.21
Pb  0.7500  0.7500  0.7500  4 Br 3.21, 4 Ta 3.21
Br  0.2500  0.2500  0.2500  4 Ta 3.21, 4 Br 3.21
Br  0.5000  0.5000  0.5000  4 Pb 3.21, 4 Br 3.21

Computed properties:
crystal system: cubic
energy above the lowest structure with this stoichiometry: 1.011 eV per atom
space group: F-43m (216)

(12)
KNiTe3Rh: relaxed, PBE.

a b c (Å): 9.0129 4.0013 10.2709
angles (deg): 90.00 115.97 90.00
Last column: nearest neighbours and their distance in Å.
Atoms (fractional coordinates):
K  0.2488  0.2500  0.2738  7 Te 3.58-3.86, 2 K 4.00
K  0.7512  0.7500  0.7262  7 Te 3.58-3.86, 2 K 4.00
Ni  0.0908  0.2500  0.6123  4 Te 2.47-2.53
Ni  0.9092  0.7500  0.3877  4 Te 2.47-2.53
Te  0.1187  0.2500  0.8621  1 Ni 2.47, 2 Rh 2.72
Te  0.2168  0.7500  0.5489  3 Ni 2.52-2.53, 1 Rh 2.73
Te  0.4766  0.7500  0.1312  3 Rh 2.69
Te  0.5234  0.2500  0.8688  3 Rh 2.69
Te  0.7832  0.2500  0.4511  3 Ni 2.52-2.53, 1 Rh 2.73
Te  0.8813  0.7500  0.1379  1 Ni 2.47, 2 Rh 2.72
Rh  0.3122  0.7500  0.8409  6 Te 2.69-2.73
Rh  0.6878  0.2500  0.1591  6 Te 2.69-2.73

Computed properties:
DFT total energy: -4.410 eV/atom
crystal system: monoclinic
space group: P2_1/m (11)